Below is CaScIn after structural relaxation, with properties calculated at the PBE level.

## Properties
- D(E_F) (states/eV per atom) = 0.9893
- energy above the lowest structure with this stoichiometry (eV per atom) = 0.064
- E_form (eV/f.u.) = -0.78
- final energy (eV per atom) = -3.951

a = 3.384 Å, b = 6.230 Å, c = 8.583 Å
α = 71.83°, β = 89.96°, γ = 74.34°
Space group P-1 (No. 2)
Inequivalent atoms, fractional coordinates:
Ca: 0.153 0.189 0.123 x2
Sc: 0.136 0.229 0.519 x2
In: 0.451 0.599 0.237 x2